The following is a PBE calculation of Be2TlHIr after structural relaxation, from Alexandria.

Summary:
DOS at the Fermi energy ... 0.917 states/eV/atom
Final energy ... -2.3614 eV per atom
Magnetization ... 0.787 μB per cell

CIF file:
```
data_Be2TlHIr
_symmetry_space_group_name_H-M 'P 4/m m m'
_symmetry_Int_Tables_number 123
_symmetry_space_group_name_Hall '-P 4 2'
_cell_length_a 4.440
_cell_length_b 4.440
_cell_length_c 5.271
_cell_angle_alpha 90.00
_cell_angle_beta 90.00
_cell_angle_gamma 90.00
loop_
_atom_site_label
_atom_site_fract_x
_atom_site_fract_y
_atom_site_fract_z
Be1 0.000 0.500 0.000
Tl1 0.000 0.000 0.000
H1 0.500 0.500 0.500
Ir1 0.000 0.000 0.500
```